No. 1
First-principles (PBE) data for an optimized crystal structure of B2RuPt, as listed in Alexandria via LeMat-Bulk.

a b c (Å): 5.4876 5.4876 5.4876
angles (deg): 90.00 90.00 90.00
Closest atoms and distances in Å follow each position.
Space group Fm-3m (No. 225)
Unique sites:
1 B 0.2500 0.2500 0.2500  4 Ru 2.38, 4 Pt 2.38
2 Ru 0.0000 0.0000 0.0000  8 B 2.38
3 Pt 0.0000 0.0000 0.5000  8 B 2.38

Summary:
- Energy above the lowest structure with this stoichiometry: 0.226 eV/f.u.
- ΔE_f: 214 meV/atom



No. 2
First-principles (PBE) data for an optimized crystal structure of BRu2Pt, as listed in Alexandria via LeMat-Bulk.

a b c (Å): 2.7218 2.7218 6.6607
angles (deg): 90.00 90.00 90.00
Closest atoms and distances in Å follow each position.
Space group P4/mmm (No. 123)
Unique sites:
1 B 0.0000 0.0000 0.0000  8 Ru 2.31
2 Ru 0.5000 0.5000 0.1923  4 B 2.31, 1 Ru 2.56
3 Pt 0.0000 0.0000 0.5000  4 Pt 2.72, 8 Ru 2.81

Summary:
- ΔE_f: -44 meV/atom



No. 3
First-principles (PBE) data for an optimized crystal structure of B2RuPt4, as listed in Alexandria via LeMat-Bulk.

a b c (Å): 4.7074 4.7074 10.9295
angles (deg): 90.00 90.00 90.00
Closest atoms and distances in Å follow each position.
Space group I4/mmm (No. 139)
Unique sites:
1 B 0.0000 0.0000 0.0751  1 B 1.64
2 Ru 0.0000 0.0000 0.5000  4 Pt 2.35
3 Pt 0.0000 0.0000 0.2532  1 B 1.95
4 Pt 0.0000 0.5000 0.0000  2 Ru 2.35, 4 B 2.49

Summary:
- ΔE_f: 1035 meV/atom



No. 4
First-principles (PBE) data for an optimized crystal structure of B3RuPt, as listed in Alexandria via LeMat-Bulk.

a b c (Å): 4.0396 4.0396 4.0396
angles (deg): 90.00 90.00 90.00
Closest atoms and distances in Å follow each position.
Space group Pm-3m (No. 221)
Unique sites:
1 B 0.0000 0.0000 0.5000  2 Pt 2.02
2 Ru 0.5000 0.5000 0.5000  12 B 2.86
3 Pt 0.0000 0.0000 0.0000  6 B 2.02

Summary:
- Energy above the lowest structure with this stoichiometry: 1.414 eV/f.u.
- ΔE_f: 1490 meV/atom



No. 5
First-principles (PBE) data for an optimized crystal structure of B2RuPt, as listed in Alexandria via LeMat-Bulk.

a b c (Å): 4.7351 4.7351 9.4610
angles (deg): 90.00 90.00 90.00
Closest atoms and distances in Å follow each position.
Space group I-42d (No. 122)
Unique sites:
1 B 0.2412 0.2500 0.1250  2 Ru 2.03, 2 Pt 2.07
2 Ru 0.0000 0.0000 0.0000  4 B 2.03
3 Pt 0.0000 0.0000 0.5000  4 B 2.07

Summary:
- Energy above the lowest structure with this stoichiometry: 0.000 eV/f.u.
- ΔE_f: 158 meV/atom



No. 6
First-principles (PBE) data for an optimized crystal structure of BRuPt2, as listed in Alexandria via LeMat-Bulk.

a b c (Å): 2.7959 2.7959 25.1436
angles (deg): 90.00 90.00 120.00
Closest atoms and distances in Å follow each position.
Space group R-3m (No. 166, hexagonal axes)
Unique sites:
1 B 0.0000 0.0000 0.0000  6 Pt 2.20
2 Ru 0.0000 0.0000 0.5000  2 Pt 2.70, 6 Ru 2.80
3 Pt 0.0000 0.0000 0.3925  3 B 2.20

Summary:
- ΔE_f: 342 meV/atom



No. 7
First-principles (PBE) data for an optimized crystal structure of B2RuPt3, as listed in Alexandria via LeMat-Bulk.

a b c (Å): 15.0152 2.8815 7.2178
angles (deg): 90.00 103.96 90.00
Closest atoms and distances in Å follow each position.
Space group C2/m (No. 12)
Unique sites:
1 B 0.1073 0.0000 0.1925  3 Pt 2.10-2.12, 2 Ru 2.19
2 B 0.1860 0.5000 0.7273  4 Pt 2.18-2.24, 2 Ru 2.21
3 Ru 0.2125 0.5000 0.3295  4 B 2.19-2.21
4 Pt 0.0064 0.5000 0.2000  2 B 2.10
5 Pt 0.0970 0.0000 0.5451  2 B 2.18
6 Pt 0.1625 0.0000 0.9484  3 B 2.12-2.24

Summary:
- ΔE_f: -141 meV/atom



No. 8
First-principles (PBE) data for an optimized crystal structure of BRu2Pt, as listed in Alexandria via LeMat-Bulk.

a b c (Å): 4.7540 4.7540 11.6288
angles (deg): 90.00 90.00 90.00
Closest atoms and distances in Å follow each position.
Space group I-42d (No. 122)
Unique sites:
1 B 0.0000 0.0000 0.0000  4 Ru 2.02
2 Ru 0.1561 0.2500 0.1250  2 B 2.02
3 Pt 0.0000 0.0000 0.5000  4 Ru 2.49

Summary:
- ΔE_f: 745 meV/atom